Below is a relaxed structure of Rb2Sm, with properties calculated at the GGA-PBE level.

The structure belongs to space group Fm-3m (No. 225); the cell edges are 9.818, 9.818 and 9.818 Å and the angles 90.00°, 90.00° and 90.00°. The asymmetric unit holds Rb at (0.250, 0.250, 0.250) and Sm at (0.000, 0.000, 0.000).

The value obtained for the total magnetization is 11.84 Bohr magnetons per cell. The calculation puts the distance to the lowest polymorph of the same formula at 268 meV per atom.


Below is a relaxed structure of Rb2Sm, with properties calculated at the GGA-PBE level.

The structure belongs to space group Fd-3m (No. 227, origin choice 2); the cell edges are 11.031, 11.031 and 11.031 Å and the angles 90.00°, 90.00° and 90.00°. The asymmetric unit holds Rb at (0.000, 0.000, 0.000) and Sm at (0.125, 0.125, 0.625).

The value obtained for the total magnetization is 10.43 Bohr magnetons per cell. The calculation puts the distance to the lowest polymorph of the same formula at 0 meV per atom.


Below is a relaxed structure of RbSmSn, with properties calculated at the GGA-PBE level.

The structure belongs to space group F-43m (No. 216); the cell edges are 7.679, 7.679 and 7.679 Å and the angles 90.00°, 90.00° and 90.00°. The asymmetric unit holds Rb at (0.000, 0.000, 0.000), Sm at (0.250, 0.250, 0.250) and Sn at (0.000, 0.000, 0.500).

The value obtained for the total magnetization is 0.00 Bohr magnetons per cell. As for the calculated total energy: -37.17 eV/cell.


Below is a relaxed structure of RbSmTc, with properties calculated at the GGA-PBE level.

The structure belongs to space group F-43m (No. 216); the cell edges are 7.235, 7.235 and 7.235 Å and the angles 90.00°, 90.00° and 90.00°. The asymmetric unit holds Rb at (0.000, 0.000, 0.000), Sm at (0.250, 0.250, 0.250) and Tc at (0.000, 0.000, 0.500).

The value obtained for the total magnetization is 4.33 Bohr magnetons per cell. As for the calculated total energy: -43.95 eV/cell.


Number 3 is which compound? RbSmSn